Record 1
Crystalline Nd3CuRh8 at its relaxed geometry. Source: Alexandria via LeMat-Bulk, functional PBE.

a = 5.3608 Å, b = 5.3608 Å, c = 26.2847 Å
α = 90.00°, β = 90.00°, γ = 120.00°
Space group R3m (No. 160, hexagonal axes)
Asymmetric unit:
Nd 0.0000 0.0000 0.0000 x3
Nd 0.0000 0.0000 0.1303 x3
Nd 0.0000 0.0000 0.5170 x3
Cu 0.0000 0.0000 0.6449 x3
Rh 0.0000 0.0000 0.3178 x3
Rh 0.0000 0.0000 0.8180 x3
Rh 0.9997 0.4999 0.0671 x9
Rh 0.1670 0.3340 0.9027 x9

Summary:
Total moment   0.00 μB/f.u.
Raw total energy   -6.876 eV per atom

---

Record 2
Crystalline Sm3CuO at its relaxed geometry. Source: Alexandria via LeMat-Bulk, functional PBE.

a = 4.8193 Å, b = 4.8193 Å, c = 4.8193 Å
α = 90.00°, β = 90.00°, γ = 90.00°
Space group Pm-3m (No. 221)
Asymmetric unit:
Sm 0.0000 0.0000 0.5000 x3
Cu 0.5000 0.5000 0.5000 x1
O 0.0000 0.0000 0.0000 x1

Summary:
Total moment   0.00 μB/f.u.
Raw total energy   -5.722 eV per atom
Uncorrected formation energy   -1.080 eV per atom